Entry 1:
## NdSnPbSe3 (PBE)

Data for NdSnPbSe3 after structural relaxation.

Unit cell a=7.740 b=7.740 c=10.682 alpha=90.00 beta=90.00 gamma=147.70
Fractional coordinates of all 12 atoms:
Se 0.390 0.610 0.750
Se 0.857 0.144 0.469
Sn 0.047 0.953 0.750
Se 0.610 0.390 0.250
Pb 0.756 0.244 0.750
Se 0.144 0.857 0.531
Pb 0.244 0.756 0.250
Nd 0.500 0.500 0.000
Sn 0.953 0.047 0.250
Se 0.144 0.857 0.969
Se 0.857 0.144 0.031
Nd 0.500 0.500 0.500

Values from the calculation:
* symmetry: No. 63
* total energy: -4.60 eV/atom



Entry 2:
## LiScTeOs (PBE)

Data for LiScTeOs after structural relaxation.

Unit cell a=4.549 b=4.549 c=4.549 alpha=60.00 beta=60.00 gamma=60.00
Fractional coordinates of all 4 atoms:
Te 0.500 0.500 0.500
Li 0.750 0.750 0.750
Os 0.250 0.250 0.250
Sc 0.000 0.000 0.000

Values from the calculation:
* symmetry: No. 216
* relative energy among the computed polymorphs: 0 meV per atom



Entry 3:
## PrCoCu (PBE)

Data for PrCoCu after structural relaxation.

Unit cell a=4.529 b=4.529 c=4.529 alpha=60.00 beta=60.00 gamma=60.00
Fractional coordinates of all 3 atoms:
Co 0.250 0.250 0.250
Pr 0.000 0.000 0.000
Cu 0.750 0.750 0.750

Values from the calculation:
* symmetry: No. 216
* DFT formation energy: 0.8182 eV per atom



Entry 4:
## CuAgBMo (PBE)

Data for CuAgBMo after structural relaxation.

Unit cell a=4.211 b=4.211 c=4.211 alpha=60.00 beta=60.00 gamma=60.00
Fractional coordinates of all 4 atoms:
Mo 0.250 0.250 0.250
B 0.000 0.000 0.000
Cu 0.750 0.750 0.750
Ag 0.500 0.500 0.500

Values from the calculation:
* symmetry: No. 216
* relative energy among the computed polymorphs: 0 meV per atom